This record from Alexandria via LeMat-Bulk describes a relaxed SrNi5Ge3 crystal. The functional is PBE-GGA.

```
data_SrNi5Ge3
_chemical_formula_sum 'Sr2 Ni10 Ge6'
_space_group_name_H-M_alt 'P 1'
_space_group_IT_number 1
_cell_length_a 6.398
_cell_length_b 6.398
_cell_length_c 11.948
_cell_angle_alpha 90.00
_cell_angle_beta 90.00
_cell_angle_gamma 145.43
loop_
_space_group_symop_operation_xyz
'x,y,z'
loop_
_atom_site_label
_atom_site_type_symbol
_atom_site_fract_x
_atom_site_fract_y
_atom_site_fract_z
Sr1 Sr 0.168 0.832 0.750
Sr2 Sr 0.832 0.168 0.250
Ni1 Ni 0.000 0.000 0.000
Ni2 Ni 0.000 0.000 0.500
Ni3 Ni 0.192 0.808 0.064
Ni4 Ni 0.192 0.808 0.436
Ni5 Ni 0.448 0.552 0.643
Ni6 Ni 0.448 0.552 0.857
Ni7 Ni 0.552 0.448 0.143
Ni8 Ni 0.552 0.448 0.357
Ni9 Ni 0.808 0.192 0.564
Ni10 Ni 0.808 0.192 0.936
Ge1 Ge 0.105 0.895 0.250
Ge2 Ge 0.380 0.620 0.041
Ge3 Ge 0.380 0.620 0.459
Ge4 Ge 0.620 0.380 0.541
Ge5 Ge 0.620 0.380 0.959
Ge6 Ge 0.895 0.105 0.750
```

Computed properties:
- N(E_F) (states/eV per atom) = 0.53
- energy of formation (meV/atom) = -435
- space-group type = Cmcm